# MnGaF5 (GGA+U, relaxed)
# **DFT total energy**: -5.479 eV per atom
# **Spin magnetization**: 20.0 μB per cell
data_MnGaF5
_space_group_name_H-M_alt 'C 1 2/c 1'
_space_group_IT_number 15
_space_group_name_Hall '-C 2yc'
_cell_length_a 8.716
_cell_length_b 6.324
_cell_length_c 7.540
_cell_angle_alpha 90.00
_cell_angle_beta 115.78
_cell_angle_gamma 90.00
loop_
_atom_site_label
_atom_site_type_symbol
_atom_site_fract_x
_atom_site_fract_y
_atom_site_fract_z
Mn1 Mn 0.000 0.036 0.250
Ga1 Ga 0.000 0.500 0.000
F1 F 0.000 0.410 0.250
F2 F 0.018 0.202 0.967
F3 F 0.238 0.470 0.626